[1]
The following is a DFT calculation (PBE-GGA) of a relaxed structure of La2BeOs.

a b c (Å): 4.4874 4.4874 8.4299
angles (deg): 90.00 90.00 90.00
Closest atoms and distances in Å follow each position.
Space group I-4m2 (No. 119)
Symmetry-distinct sites (fractional):
La (0.0000, 0.0000, 0.0000) (multiplicity 2)  4 La 3.08, 4 Os 3.08, 4 Be 3.17
La (0.0000, 0.5000, 0.2500) (multiplicity 2)  4 La 3.08, 4 Be 3.08, 4 Os 3.17
Be (0.0000, 0.0000, 0.5000) (multiplicity 2)  8 La 3.08-3.17, 4 Os 3.08
Os (0.0000, 0.5000, 0.7500) (multiplicity 2)  8 La 3.08-3.17, 4 Be 3.08

Results
formation energy = 122 kJ/mol of formula units
DOS(E_F) = 4.2 states/eV/f.u.
total moment = 0.00 μB/f.u.
crystal system = tetragonal

=====

[2]
The following is a DFT calculation (PBE-GGA) of a relaxed structure of LaBe3Os.

a b c (Å): 11.7146 11.7146 11.7146
angles (deg): 90.00 90.00 90.00
Closest atoms and distances in Å follow each position.
Space group Fd-3m (No. 227, origin choice 2)
Symmetry-distinct sites (fractional):
La (0.0000, 0.0000, 0.0000) (multiplicity 16)  6 Be 3.24
Be (0.0375, 0.3750, 0.8750) (multiplicity 48)  2 Os 2.12
Os (0.0000, 0.0000, 0.5000) (multiplicity 16)  6 Be 2.12

Results
formation energy = 232 kJ/mol of formula units
DOS(E_F) = 3.3 states/eV/f.u.
total moment = 0.00 μB/f.u.
energy above the lowest structure with this stoichiometry = 639 meV/atom
crystal system = cubic

=====

[3]
The following is a DFT calculation (PBE-GGA) of a relaxed structure of LaBe3Os.

a b c (Å): 5.7632 11.5168 4.5830
angles (deg): 90.00 90.00 90.00
Closest atoms and distances in Å follow each position.
Space group Pnma (No. 62)
Symmetry-distinct sites (fractional):
La (0.0000, 0.0000, 0.0000) (multiplicity 4)  6 Be 2.84-3.08, 2 Os 3.14
Be (0.0244, 0.1589, 0.4720) (multiplicity 8)  3 Be 2.10-2.18, 2 Os 2.29-2.33
Be (0.1596, 0.7500, 0.8756) (multiplicity 4)  4 Be 2.15-2.18, 1 Os 2.34
Os (0.1940, 0.2500, 0.8732) (multiplicity 4)  7 Be 2.29-2.45

Results
formation energy = -30 kJ/mol of formula units
DOS(E_F) = 3.2 states/eV/f.u.
total moment = 0.00 μB/f.u.
energy above the lowest structure with this stoichiometry = 96 meV/atom
crystal system = orthorhombic

=====

[4]
The following is a DFT calculation (PBE-GGA) of a relaxed structure of LaBeOs2.

a b c (Å): 2.9651 4.9071 9.6784
angles (deg): 90.00 90.00 90.00
Closest atoms and distances in Å follow each position.
Space group Imm2 (No. 44)
Symmetry-distinct sites (fractional):
La (0.0000, 0.0000, 0.0000) (multiplicity 2)  6 Os 2.87-3.12, 2 La 2.97, 4 Be 3.17-3.19
Be (0.0000, 0.5000, 0.2077) (multiplicity 2)  2 Os 2.43
Os (0.0000, 0.0000, 0.5087) (multiplicity 2)  2 Be 2.43, 2 Os 2.63
Os (0.0000, 0.5000, 0.7838) (multiplicity 2)  2 Os 2.63

Results
formation energy = 203 kJ/mol of formula units
DOS(E_F) = 3.3 states/eV/f.u.
total moment = 0.00 μB/f.u.
crystal system = orthorhombic

=====

[5]
The following is a DFT calculation (PBE-GGA) of a relaxed structure of LaBe3Os.

a b c (Å): 3.9581 15.9147 5.2169
angles (deg): 90.00 90.00 90.00
Closest atoms and distances in Å follow each position.
Space group Cmcm (No. 63)
Symmetry-distinct sites (fractional):
La (0.0000, 0.1651, 0.2500) (multiplicity 4)  8 Be 2.81-3.10
Be (0.0000, 0.0000, 0.0000) (multiplicity 4)  4 Os 2.41, 2 Be 2.61
Be (0.2435, 0.3504, 0.2500) (multiplicity 8)  2 Be 1.93-2.03
Os (0.0000, 0.4743, 0.2500) (multiplicity 4)  6 Be 2.19-2.41

Results
formation energy = 102 kJ/mol of formula units
DOS(E_F) = 3.2 states/eV/f.u.
total moment = 0.00 μB/f.u.
energy above the lowest structure with this stoichiometry = 368 meV/atom
crystal system = orthorhombic

=====

[6]
The following is a DFT calculation (PBE-GGA) of a relaxed structure of LaBe3Os.

a b c (Å): 10.4565 9.7063 6.1683
angles (deg): 90.00 90.78 90.00
Closest atoms and distances in Å follow each position.
Space group C2/c (No. 15)
Symmetry-distinct sites (fractional):
La (0.1547, 0.1124, 0.3855) (multiplicity 8)  7 Be 2.93-3.26, 2 Os 2.98-3.05
Be (0.0584, 0.4268, 0.5991) (multiplicity 8)  5 Be 2.05-2.28
Be (0.1333, 0.3903, 0.9432) (multiplicity 8)  5 Be 2.05-2.28
Be (0.1988, 0.1857, 0.8894) (multiplicity 8)  3 Be 2.13-2.15, 1 Os 2.26
Os (0.0000, 0.2204, 0.7500) (multiplicity 4)  6 Be 2.26-2.46
Os (0.0000, 0.3650, 0.2500) (multiplicity 4)  6 Be 2.31-2.38

Results
formation energy = 36 kJ/mol of formula units
DOS(E_F) = 1.6 states/eV/f.u.
total moment = 0.00 μB/f.u.
energy above the lowest structure with this stoichiometry = 231 meV/atom
crystal system = monoclinic

=====

[7]
The following is a DFT calculation (PBE-GGA) of a relaxed structure of LaBe3Os.

a b c (Å): 11.7700 4.3211 5.9478
angles (deg): 90.00 102.61 90.00
Closest atoms and distances in Å follow each position.
Space group C2/m (No. 12)
Symmetry-distinct sites (fractional):
La (0.1598, 0.0000, 0.4313) (multiplicity 4)  5 Be 2.76-3.04, 2 La 3.01
Be (0.0382, 0.5000, 0.1659) (multiplicity 4)  2 Be 1.98
Be (0.0712, 0.5000, 0.6249) (multiplicity 4)  2 Be 1.98
Be (0.0903, 0.0000, 0.9075) (multiplicity 4)  3 Os 2.45-2.52, 5 Be 2.60-2.72
Os (0.1909, 0.5000, 0.9722) (multiplicity 4)  4 Be 2.23-2.45

Results
formation energy = 32 kJ/mol of formula units
DOS(E_F) = 2.4 states/eV/f.u.
total moment = 0.00 μB/f.u.
energy above the lowest structure with this stoichiometry = 224 meV/atom
crystal system = monoclinic

=====

[8]
The following is a DFT calculation (PBE-GGA) of a relaxed structure of LaBe3Os.

a b c (Å): 11.4598 3.9126 7.4864
angles (deg): 90.00 119.36 90.00
Closest atoms and distances in Å follow each position.
Space group C2/m (No. 12)
Symmetry-distinct sites (fractional):
La (0.2425, 0.0000, 0.3239) (multiplicity 4)  5 Be 2.77-2.99, 2 Os 3.02-3.09
Be (0.0000, 0.0000, 0.5000) (multiplicity 2)  4 Be 2.37, 2 Os 2.44
Be (0.0000, 0.5000, 0.0000) (multiplicity 2)  4 Be 2.33-2.40, 4 Os 2.48
Be (0.0092, 0.5000, 0.6863) (multiplicity 4)  2 Os 2.27, 4 Be 2.29-2.40
Be (0.2021, 0.5000, 0.9969) (multiplicity 4)  4 Be 2.23-2.33, 3 Os 2.34-2.40
Os (0.0649, 0.0000, 0.8635) (multiplicity 4)  8 Be 2.27-2.48

Results
formation energy = -71 kJ/mol of formula units
DOS(E_F) = 2.6 states/eV/f.u.
total moment = 0.00 μB/f.u.
energy above the lowest structure with this stoichiometry = 11 meV/atom
crystal system = monoclinic

=====

[9]
The following is a DFT calculation (PBE-GGA) of a relaxed structure of La3BeOs.

a b c (Å): 5.5483 5.5483 5.5483
angles (deg): 90.00 90.00 90.00
Closest atoms and distances in Å follow each position.
Space group Pm-3m (No. 221)
Symmetry-distinct sites (fractional):
La (0.0000, 0.0000, 0.5000) (multiplicity 3)  2 Os 2.77
Be (0.5000, 0.5000, 0.5000) (multiplicity 1)  12 La 3.92
Os (0.0000, 0.0000, 0.0000) (multiplicity 1)  6 La 2.77

Results
formation energy = 157 kJ/mol of formula units
DOS(E_F) = 3.9 states/eV/f.u.
total moment = 0.00 μB/f.u.
energy above the lowest structure with this stoichiometry = 0 meV/atom
crystal system = cubic

=====

[10]
The following is a DFT calculation (PBE-GGA) of a relaxed structure of LaBe2OsS.

a b c (Å): 4.2485 4.2485 4.8826
angles (deg): 90.00 90.00 90.00
Closest atoms and distances in Å follow each position.
Space group P4/mmm (No. 123)
Symmetry-distinct sites (fractional):
La (0.0000, 0.0000, 0.0000) (multiplicity 1)  4 S 3.00, 8 Be 3.24
Be (0.0000, 0.5000, 0.5000) (multiplicity 2)  2 Os 2.12
Os (0.5000, 0.5000, 0.5000) (multiplicity 1)  4 Be 2.12
S (0.5000, 0.5000, 0.0000) (multiplicity 1)  2 Os 2.44

Results
DOS(E_F) = 2.9 states/eV/f.u.
E_form (uncorrected) = -0.24 eV per atom
total moment = 0.00 μB/f.u.
crystal system = tetragonal

=====

[11]
The following is a DFT calculation (PBE-GGA) of a relaxed structure of LaBe2SiOs.

a b c (Å): 4.4250 4.4250 4.5290
angles (deg): 90.00 90.00 90.00
Closest atoms and distances in Å follow each position.
Space group P4/mmm (No. 123)
Symmetry-distinct sites (fractional):
La (0.0000, 0.0000, 0.0000) (multiplicity 1)  4 Si 3.13, 8 Be 3.17
Be (0.0000, 0.5000, 0.5000) (multiplicity 2)  2 Os 2.21
Si (0.5000, 0.5000, 0.0000) (multiplicity 1)  2 Os 2.26
Os (0.5000, 0.5000, 0.5000) (multiplicity 1)  4 Be 2.21, 2 Si 2.26

Results
DOS(E_F) = 1.0 states/eV/f.u.
E_form (uncorrected) = -0.30 eV per atom
total moment = 0.00 μB/f.u.
crystal system = tetragonal

=====

[12]
The following is a DFT calculation (PBE-GGA) of a relaxed structure of La2YBeOs.

a b c (Å): 5.5143 5.5143 5.4307
angles (deg): 90.00 90.00 90.00
Closest atoms and distances in Å follow each position.
Space group P4/mmm (No. 123)
Symmetry-distinct sites (fractional):
La (0.0000, 0.5000, 0.0000) (multiplicity 2)  2 Os 2.76
Y (0.0000, 0.0000, 0.5000) (multiplicity 1)  2 Os 2.72
Be (0.5000, 0.5000, 0.5000) (multiplicity 1)  8 La 3.87, 4 Y 3.90
Os (0.0000, 0.0000, 0.0000) (multiplicity 1)  2 Y 2.72, 4 La 2.76

Results
formation energy = 170 kJ/mol of formula units
DOS(E_F) = 3.6 states/eV/f.u.
total moment = 0.00 μB/f.u.
crystal system = tetragonal

=====

[13]
The following is a DFT calculation (PBE-GGA) of a relaxed structure of LaBeP2.

a b c (Å): 6.6850 6.6850 6.6850
angles (deg): 90.00 90.00 90.00
Closest atoms and distances in Å follow each position.
Space group F-43m (No. 216)
Symmetry-distinct sites (fractional):
La (0.0000, 0.0000, 0.0000) (multiplicity 4)  4 Be 2.89, 4 P 2.89
Be (0.2500, 0.2500, 0.2500) (multiplicity 4)  4 P 2.89, 4 La 2.89
P (0.0000, 0.0000, 0.5000) (multiplicity 4)  4 P 2.89, 4 Be 2.89
P (0.2500, 0.2500, 0.7500) (multiplicity 4)  4 La 2.89, 4 P 2.89

Results
formation energy = 41 kJ/mol of formula units
DOS(E_F) = 3.3 states/eV/f.u.
total moment = 0.00 μB/f.u.
crystal system = cubic